Pm6Er2Tm3In GGA-PBE relaxed; E_tot = -4.515 eV per atom
1.0
6.154 -0.005 0.008
-3.080 5.328 0.008
-1.048 -1.815 11.511
Pm In Er Tm
6 1 2 3
direct
0.755 0.755 0.250
0.917 0.589 0.751
0.245 0.245 0.750
0.411 0.083 0.249
0.589 0.917 0.751
0.083 0.411 0.249
0.000 0.000 0.000
0.667 0.333 0.000
0.333 0.667 0.000
0.832 0.168 0.500
0.168 0.832 0.500
0.500 0.500 0.500



PmEr2TmIn4 GGA-PBE relaxed; E_tot = -4.110 eV per atom
1.0
5.311 0.000 0.000
2.655 4.599 0.000
2.655 1.533 8.709
Tm In Er Pm
1 4 2 1
direct
0.500 0.500 0.500
0.874 0.874 0.379
0.377 0.377 0.870
0.126 0.126 0.621
0.623 0.623 0.130
0.751 0.751 0.748
0.249 0.249 0.252
0.000 0.000 0.000



PmErTmIn GGA-PBE relaxed; E_tot = -4.235 eV per atom
1.0
-2.842 -4.058 -2.918
-2.468 -1.780 4.878
0.028 5.133 -1.501
Tm In Pm Er
1 1 1 1
direct
0.500 0.500 0.000
0.250 0.750 0.500
0.750 0.250 0.500
0.000 0.000 0.000



PmEr2Tm5In GGA-PBE relaxed; E_tot = -4.328 eV per atom
1.0
5.312 0.000 0.000
-2.656 9.953 0.000
0.000 0.000 10.408
Tm Pm Er In
10 2 4 2
direct
0.385 0.771 0.008
0.290 0.580 0.710
0.710 0.420 0.806
0.011 0.021 0.008
0.500 0.000 0.758
0.290 0.580 0.306
0.989 0.979 0.508
0.615 0.229 0.508
0.710 0.420 0.210
0.500 0.000 0.258
0.791 0.582 0.508
0.209 0.418 0.008
0.884 0.768 0.798
0.116 0.232 0.718
0.884 0.768 0.218
0.116 0.232 0.298
0.405 0.810 0.508
0.595 0.190 0.008



PmErTm2In4 GGA-PBE relaxed; E_tot = -4.095 eV per atom
1.0
5.307 0.000 0.000
2.654 4.596 0.000
2.654 1.532 8.701
In Tm Pm Er
4 2 1 1
direct
0.623 0.623 0.130
0.874 0.874 0.379
0.126 0.126 0.621
0.377 0.377 0.870
0.249 0.249 0.252
0.751 0.751 0.748
0.000 0.000 0.000
0.500 0.500 0.500



Pm6Y2Er3In GGA-PBE relaxed; E_tot = -4.861 eV per atom
1.0
6.169 -0.006 0.006
-3.089 5.340 0.006
-1.047 -1.813 11.589
Er In Pm Y
3 1 6 2
direct
0.168 0.832 0.500
0.500 0.500 0.500
0.832 0.168 0.500
0.000 0.000 0.000
0.410 0.083 0.250
0.083 0.410 0.250
0.244 0.244 0.749
0.590 0.917 0.750
0.756 0.756 0.251
0.917 0.590 0.750
0.334 0.666 0.000
0.666 0.334 0.000



Pm2Y6Er3In GGA-PBE relaxed; E_tot = -5.443 eV per atom
1.0
-1.552 -4.882 3.329
-0.552 -0.146 -6.083
11.479 -2.347 0.039
Y Pm In Er
6 2 1 3
direct
0.244 0.244 0.750
0.083 0.410 0.249
0.590 0.917 0.751
0.756 0.756 0.250
0.917 0.590 0.751
0.410 0.083 0.249
0.666 0.334 0.000
0.334 0.666 0.000
0.000 0.000 0.000
0.166 0.834 0.500
0.834 0.166 0.500
0.500 0.500 0.500



Pm2ErZn2In2 GGA-PBE relaxed; E_tot = -3.442 eV per atom
1.0
4.710 0.000 0.000
2.355 4.079 0.000
2.355 1.360 9.296
Pm Zn Er In
2 2 1 2
direct
0.126 0.126 0.621
0.874 0.874 0.379
0.391 0.391 0.827
0.609 0.609 0.173
0.000 0.000 0.000
0.733 0.733 0.802
0.267 0.267 0.198



PmErZnIn GGA-PBE relaxed; E_tot = -3.744 eV per atom
1.0
3.666 0.000 0.000
0.000 3.666 0.000
0.000 0.000 7.521
Er Zn Pm In
1 1 1 1
direct
0.500 0.500 0.586
0.000 0.000 0.374
0.500 0.500 0.125
0.000 0.000 0.844



PmErZnIn GGA-PBE relaxed; E_tot = -3.718 eV per atom
1.0
-2.948 -2.303 3.683
-0.177 -5.236 0.325
2.288 -2.458 4.035
Pm Zn In Er
1 1 1 1
direct
0.750 0.750 0.750
0.000 0.000 0.000
0.500 0.500 0.500
0.250 0.250 0.250



Pr3Er2In4 GGA-PBE relaxed; E_tot = -4.200 eV per atom
1.0
5.084 0.000 0.000
-2.542 5.969 -0.920
0.000 -3.710 9.357
Pr In Er
3 4 2
direct
0.000 0.000 0.000
0.645 0.291 0.684
0.355 0.709 0.316
0.057 0.114 0.394
0.700 0.401 0.039
0.943 0.886 0.606
0.300 0.599 0.961
0.646 0.293 0.313
0.354 0.707 0.687



Pr3Er2In GGA-PBE relaxed; E_tot = -4.402 eV per atom
1.0
-0.596 3.509 0.223
-8.244 0.230 2.864
-1.386 0.685 14.030
Pr Er In
6 4 2
direct
0.081 0.056 0.783
0.585 0.797 0.033
0.415 0.203 0.967
0.919 0.944 0.217
0.763 0.855 0.619
0.237 0.145 0.381
0.420 0.710 0.450
0.767 0.586 0.879
0.580 0.290 0.550
0.233 0.414 0.121
0.412 0.465 0.711
0.588 0.535 0.289



Pr3Er3In2 GGA-PBE relaxed; E_tot = -4.447 eV per atom
1.0
-4.001 1.526 2.351
-2.527 -3.767 -1.856
2.503 -5.554 7.863
In Pr Er
2 3 3
direct
0.000 0.000 0.245
0.000 0.000 0.755
0.000 0.500 0.000
0.500 0.000 0.500
0.000 0.500 0.500
0.500 0.500 0.753
0.500 0.000 0.000
0.500 0.500 0.247



PrEr2In2 GGA-PBE relaxed; E_tot = -4.046 eV per atom
1.0
4.646 0.000 0.000
0.000 4.646 0.000
-2.323 -2.323 14.330
Er In Pr
4 4 2
direct
0.073 0.073 0.146
0.250 0.750 0.500
0.927 0.927 0.854
0.750 0.250 0.500
0.176 0.176 0.351
0.824 0.824 0.649
0.500 0.000 0.000
0.000 0.500 0.000
0.367 0.367 0.734
0.633 0.633 0.266



PrEr3In4 GGA-PBE relaxed; E_tot = -4.127 eV per atom
1.0
5.516 0.000 0.000
0.000 7.236 0.000
0.000 0.000 10.780
Er In Pr
6 8 2
direct
0.431 0.500 0.250
0.000 0.000 0.000
0.569 0.500 0.750
0.584 0.000 0.750
0.000 0.000 0.500
0.416 0.000 0.250
0.500 0.239 0.500
0.500 0.239 0.000
0.500 0.761 0.000
0.912 0.760 0.250
0.500 0.761 0.500
0.088 0.760 0.750
0.088 0.240 0.750
0.912 0.240 0.250
0.000 0.500 0.500
0.000 0.500 0.000



PrEr2In4 GGA-PBE relaxed; E_tot = -3.711 eV per atom
1.0
5.964 0.000 0.000
0.000 5.964 0.000
-2.982 -2.982 5.787
In Er Pr
4 2 1
direct
0.250 0.750 0.500
0.750 0.250 0.500
0.500 0.000 0.000
0.000 0.500 0.000
0.355 0.355 0.709
0.645 0.645 0.291
0.000 0.000 0.000



PrErIn3 GGA-PBE relaxed; E_tot = -3.804 eV per atom
1.0
6.181 0.000 0.000
0.000 5.591 0.000
-3.091 0.000 8.371
In Er Pr
6 2 2
direct
0.395 0.750 0.261
0.000 0.500 0.000
0.133 0.250 0.739
0.000 0.000 0.000
0.867 0.750 0.261
0.605 0.250 0.739
0.567 0.250 0.133
0.433 0.750 0.867
0.196 0.250 0.393
0.804 0.750 0.607



PrEr6In GGA-PBE relaxed; E_tot = -4.265 eV per atom
1.0
-3.866 5.277 0.767
-2.509 -6.089 0.077
7.299 0.526 5.683
Er Pr In
6 1 1
direct
0.666 0.228 0.244
0.800 0.800 0.245
0.200 0.200 0.755
0.772 0.334 0.756
0.334 0.772 0.756
0.228 0.666 0.244
0.500 0.500 0.500
0.000 0.000 0.000



Pr2ErIn2 GGA-PBE relaxed; E_tot = -4.297 eV per atom
1.0
-3.364 1.658 -3.354
-0.360 -3.371 -5.079
-5.270 -3.084 -0.012
Pr In Er
2 2 1
direct
0.806 0.694 0.694
0.194 0.306 0.306
0.500 0.287 0.713
0.500 0.713 0.287
0.000 0.000 0.000



Pr7ErIn2 GGA-PBE relaxed; E_tot = -4.042 eV per atom
1.0
-3.297 3.998 -1.649
-0.749 -4.081 -8.398
-6.072 -2.212 6.780
In Pr Er
2 7 1
direct
0.500 0.695 0.305
0.500 0.305 0.695
0.500 0.938 0.698
0.500 0.500 0.500
0.500 0.698 0.938
0.000 0.223 0.777
0.500 0.302 0.062
0.500 0.062 0.302
0.000 0.777 0.223
0.000 0.000 0.000



PrEr3In3 GGA-PBE relaxed; E_tot = -4.128 eV per atom
1.0
-1.539 3.224 8.617
-2.087 -8.631 2.856
8.960 -1.457 2.145
Pr Er In
4 12 12
direct
0.951 0.049 0.549
0.451 0.451 0.451
0.049 0.549 0.951
0.549 0.951 0.049
0.118 0.382 0.618
0.200 0.200 0.200
0.382 0.618 0.118
0.700 0.300 0.800
0.331 0.169 0.831
0.882 0.882 0.882
0.669 0.669 0.669
0.618 0.118 0.382
0.800 0.700 0.300
0.169 0.831 0.331
0.831 0.331 0.169
0.300 0.800 0.700
0.901 0.005 0.198
0.401 0.495 0.802
0.099 0.505 0.302
0.005 0.198 0.901
0.599 0.995 0.698
0.505 0.302 0.099
0.698 0.599 0.995
0.495 0.802 0.401
0.302 0.099 0.505
0.802 0.401 0.495
0.995 0.698 0.599
0.198 0.901 0.005



PrEr6In4 GGA-PBE relaxed; E_tot = -4.209 eV per atom
1.0
3.721 0.000 0.000
0.000 10.034 0.000
0.000 -5.017 8.690
Er In Pr
6 4 1
direct
0.500 0.191 0.809
0.000 0.537 0.073
0.000 0.537 0.463
0.500 0.618 0.809
0.000 0.927 0.463
0.500 0.191 0.382
0.500 0.835 0.165
0.000 0.333 0.667
0.500 0.330 0.165
0.500 0.835 0.670
0.000 0.000 0.000